Crystalline MnCrH at its relaxed geometry, computed with GGA-PBE.

Computed properties:
spin magnetization: 0.00 μB/cell
Fermi-level density of states: 5.44 states/eV per cell
relative energy among the computed polymorphs: 0 meV/atom
space group: No. 12

Cell: 2.607 4.442 4.945 Å, 62.64 74.75 90.00°
Element x y z (fractional)
1 H 0.751 0.748 0.498
2 Mn 0.878 0.547 0.244
3 Mn 0.122 0.453 0.756
4 Cr 0.609 0.937 0.782
5 Cr 0.391 0.063 0.218
6 H 0.249 0.252 0.502